(1)
The following is a DFT calculation (PBE-GGA) of Mg2ZnAu5 after structural relaxation.

Energy above the lowest structure with this stoichiometry   376 meV per atom

CIF file:
```
data_Mg2ZnAu5
_chemical_formula_sum 'Mg2 Zn1 Au5'
_symmetry_space_group_name_H-M 'P 4/m m m'
_symmetry_Int_Tables_number 123
_symmetry_space_group_name_Hall '-P 4 2'
_cell_length_a 6.123
_cell_length_b 6.123
_cell_length_c 4.754
_cell_angle_alpha 90.00
_cell_angle_beta 90.00
_cell_angle_gamma 90.00
loop_
_atom_site_label
_atom_site_type_symbol
_atom_site_fract_x
_atom_site_fract_y
_atom_site_fract_z
Mg1 Mg 0.000 0.500 0.000
Zn1 Zn 0.000 0.000 0.500
Au1 Au 0.000 0.000 0.000
Au2 Au 0.282 0.282 0.500
```

---

(2)
The following is a DFT calculation (PBE-GGA) of MgZn4Au7 after structural relaxation.

E_tot   -0.0961 hartree per atom

CIF file:
```
data_MgZn4Au7
_chemical_formula_sum 'Mg2 Zn8 Au14'
_symmetry_space_group_name_H-M 'C 1 2/m 1'
_symmetry_Int_Tables_number 12
_symmetry_space_group_name_Hall '-C 2y'
_cell_length_a 11.214
_cell_length_b 4.955
_cell_length_c 9.628
_cell_angle_alpha 90.00
_cell_angle_beta 123.21
_cell_angle_gamma 90.00
loop_
_atom_site_label
_atom_site_type_symbol
_atom_site_fract_x
_atom_site_fract_y
_atom_site_fract_z
Mg1 Mg 0.000 0.000 0.000
Zn1 Zn 0.083 0.500 0.779
Zn2 Zn 0.222 0.500 0.331
Au1 Au 0.000 0.500 0.000
Au2 Au 0.075 0.000 0.326
Au3 Au 0.139 0.500 0.546
Au4 Au 0.214 0.000 0.894
```

---

(3)
The following is a DFT calculation (PBE-GGA) of Mg8Zn2Au after structural relaxation.

Energy above the lowest structure with this stoichiometry   10 meV per atom

CIF file:
```
data_Mg8Zn2Au
_chemical_formula_sum 'Mg16 Zn4 Au2'
_symmetry_space_group_name_H-M 'I m m m'
_symmetry_Int_Tables_number 71
_symmetry_space_group_name_Hall '-I 2 2'
_cell_length_a 4.543
_cell_length_b 7.164
_cell_length_c 13.496
_cell_angle_alpha 90.00
_cell_angle_beta 90.00
_cell_angle_gamma 90.00
loop_
_atom_site_label
_atom_site_type_symbol
_atom_site_fract_x
_atom_site_fract_y
_atom_site_fract_z
Mg1 Mg 0.000 0.000 0.156
Mg2 Mg 0.000 0.224 0.346
Mg3 Mg 0.000 0.291 0.000
Zn1 Zn 0.000 0.500 0.186
Au1 Au 0.000 0.500 0.500
```

---

(4)
The following is a DFT calculation (PBE-GGA) of MgZn2Au5 after structural relaxation.

E_tot   -0.1042 hartree per atom

CIF file:
```
data_MgZn2Au5
_chemical_formula_sum 'Mg2 Zn4 Au10'
_symmetry_space_group_name_H-M 'P b a m'
_symmetry_Int_Tables_number 55
_symmetry_space_group_name_Hall '-P 2 2ab'
_cell_length_a 5.647
_cell_length_b 11.342
_cell_length_c 4.277
_cell_angle_alpha 90.00
_cell_angle_beta 90.00
_cell_angle_gamma 90.00
loop_
_atom_site_label
_atom_site_type_symbol
_atom_site_fract_x
_atom_site_fract_y
_atom_site_fract_z
Mg1 Mg 0.000 0.000 0.000
Zn1 Zn 0.204 0.365 0.500
Au1 Au 0.000 0.500 0.000
Au2 Au 0.055 0.755 0.000
Au3 Au 0.206 0.112 0.500
```

---

(5)
The following is a DFT calculation (PBE-GGA) of MgZnAu2 after structural relaxation.

E_tot   -0.0994 hartree per atom

CIF file:
```
data_MgZnAu2
_chemical_formula_sum 'Mg1 Zn1 Au2'
_symmetry_space_group_name_H-M 'P m m 2'
_symmetry_Int_Tables_number 25
_symmetry_space_group_name_Hall 'P 2 -2'
_cell_length_a 3.297
_cell_length_b 3.714
_cell_length_c 5.706
_cell_angle_alpha 90.00
_cell_angle_beta 90.00
_cell_angle_gamma 90.00
loop_
_atom_site_label
_atom_site_type_symbol
_atom_site_fract_x
_atom_site_fract_y
_atom_site_fract_z
Mg1 Mg 0.000 0.000 0.000
Zn1 Zn 0.500 0.500 0.287
Au1 Au 0.000 0.000 0.483
Au2 Au 0.500 0.500 0.791
```

---

(6)
The following is a DFT calculation (PBE-GGA) of MgZnAu after structural relaxation.

E_tot   -0.0898 hartree per atom

CIF file:
```
data_MgZnAu
_chemical_formula_sum 'Mg2 Zn2 Au2'
_symmetry_space_group_name_H-M 'P 63/m m c'
_symmetry_Int_Tables_number 194
_symmetry_space_group_name_Hall '-P 6c 2c'
_cell_length_a 4.5179
_cell_length_b 4.5179
_cell_length_c 5.9560
_cell_angle_alpha 90.00
_cell_angle_beta 90.00
_cell_angle_gamma 120.00
loop_
_atom_site_label
_atom_site_type_symbol
_atom_site_fract_x
_atom_site_fract_y
_atom_site_fract_z
Mg1 Mg 0.0000 0.0000 0.0000
Zn1 Zn 0.3333 0.6667 0.2500
Au1 Au 0.3333 0.6667 0.7500
```

---

(7)
The following is a DFT calculation (PBE-GGA) of Mg2Zn3Au after structural relaxation.

E_tot   -0.0723 hartree per atom

CIF file:
```
data_Mg2Zn3Au
_chemical_formula_sum 'Mg16 Zn24 Au8'
_symmetry_space_group_name_H-M 'F m m m'
_symmetry_Int_Tables_number 69
_symmetry_space_group_name_Hall '-F 2 2'
_cell_length_a 5.984
_cell_length_b 9.012
_cell_length_c 15.391
_cell_angle_alpha 90.00
_cell_angle_beta 90.00
_cell_angle_gamma 90.00
loop_
_atom_site_label
_atom_site_type_symbol
_atom_site_fract_x
_atom_site_fract_y
_atom_site_fract_z
Mg1 Mg 0.248 0.000 0.000
Mg2 Mg 0.250 0.250 0.250
Zn1 Zn 0.000 0.000 0.336
Zn2 Zn 0.000 0.246 0.418
Au1 Au 0.000 0.000 0.166
```

---

(8)
The following is a DFT calculation (PBE-GGA) of Mg3ZnAu12 after structural relaxation.

E_tot   -0.1159 hartree per atom

CIF file:
```
data_Mg3ZnAu12
_chemical_formula_sum 'Mg3 Zn1 Au12'
_symmetry_space_group_name_H-M 'P 4/m m m'
_symmetry_Int_Tables_number 123
_symmetry_space_group_name_Hall '-P 4 2'
_cell_length_a 4.170
_cell_length_b 4.170
_cell_length_c 16.260
_cell_angle_alpha 90.00
_cell_angle_beta 90.00
_cell_angle_gamma 90.00
loop_
_atom_site_label
_atom_site_type_symbol
_atom_site_fract_x
_atom_site_fract_y
_atom_site_fract_z
Mg1 Mg 0.000 0.000 0.000
Mg2 Mg 0.000 0.000 0.252
Zn1 Zn 0.000 0.000 0.500
Au1 Au 0.000 0.500 0.126
Au2 Au 0.000 0.500 0.377
Au3 Au 0.500 0.500 0.000
Au4 Au 0.500 0.500 0.252
Au5 Au 0.500 0.500 0.500
```

---

(9)
The following is a DFT calculation (PBE-GGA) of MgZnAu after structural relaxation.

E_tot   -0.0885 hartree per atom

CIF file:
```
data_MgZnAu
_chemical_formula_sum 'Mg1 Zn1 Au1'
_symmetry_space_group_name_H-M 'P -6 m 2'
_symmetry_Int_Tables_number 187
_symmetry_space_group_name_Hall 'P -6 2'
_cell_length_a 4.4931
_cell_length_b 4.4931
_cell_length_c 3.0563
_cell_angle_alpha 90.00
_cell_angle_beta 90.00
_cell_angle_gamma 120.00
loop_
_atom_site_label
_atom_site_type_symbol
_atom_site_fract_x
_atom_site_fract_y
_atom_site_fract_z
Mg1 Mg 0.0000 0.0000 0.0000
Zn1 Zn 0.3333 0.6667 0.5000
Au1 Au 0.6667 0.3333 0.5000
```

---

(10)
The following is a DFT calculation (PBE-GGA) of MgZn3Au3 after structural relaxation.

Energy above the lowest structure with this stoichiometry   16 meV per atom

CIF file:
```
data_MgZn3Au3
_chemical_formula_sum 'Mg4 Zn12 Au12'
_symmetry_space_group_name_H-M 'P 21 3'
_symmetry_Int_Tables_number 198
_symmetry_space_group_name_Hall 'P 2ac 2ab 3'
_cell_length_a 7.849
_cell_length_b 7.849
_cell_length_c 7.849
_cell_angle_alpha 90.00
_cell_angle_beta 90.00
_cell_angle_gamma 90.00
loop_
_atom_site_label
_atom_site_type_symbol
_atom_site_fract_x
_atom_site_fract_y
_atom_site_fract_z
Mg1 Mg 0.038 0.462 0.538
Zn1 Zn 0.133 0.633 0.867
Zn2 Zn 0.154 0.846 0.346
Zn3 Zn 0.177 0.177 0.177
Au1 Au 0.039 0.303 0.874
```

---

Number 1: total magnetization 0.000 μB/atom, calculated volume 178 Å³/f.u., calculated density 10240 kg/m3. Number 2: total magnetization 0.000 μB/atom, calculated volume 224 Å³/f.u., calculated density 12351 kg/m3. Number 3: total magnetization 0.000 μB/atom, calculated volume 220 Å³/f.u., calculated density 3949 kg/m3. Number 4: total magnetization 0.000 μB/atom, calculated volume 137 Å³/f.u., calculated density 13820 kg/m3. Number 5: total magnetization 0.000 μB/atom, calculated volume 70 Å³/f.u., calculated density 11494 kg/m3. Number 6: total magnetization 0.000 μB/atom, calculated volume 53 Å³/f.u., calculated density 9043 kg/m3. Number 7: total magnetization 0.000 μB/atom, calculated volume 104 Å³/f.u., calculated density 7070 kg/m3. Number 8: total magnetization 0.000 μB/atom, calculated volume 283 Å³/f.u., calculated density 14692 kg/m3. Number 9: total magnetization 0.000 μB/atom, calculated volume 53 Å³/f.u., calculated density 8909 kg/m3. Number 10: total magnetization 0.000 μB/atom, calculated volume 121 Å³/f.u., calculated density 11148 kg/m3.